No. 1
## Cs6Rb8Bi (PBE)

Data for Cs6Rb8Bi after structural relaxation.

Total magnetic moment   0.000 μB/f.u.
Density of states at the Fermi level   13.32 states/eV/cell
Density   2.0 g/cm3
Energy of formation from the pure elements   -5.5 kJ/mol of atoms

Cell and atoms, written as extended XYZ:
```
15
Lattice="-0.179 5.226 10.472 -5.414 -7.130 7.540 8.139 -5.046 6.731" Properties=species:S:1:pos:R:3 pbc="T T T"
Rb 7.106 -3.154 9.658
Rb -1.590 2.288 12.081
Rb 4.136 -9.238 12.662
Rb 4.868 0.905 15.436
Rb 1.922 -5.247 18.678
Rb -2.322 -7.855 9.307
Rb -4.560 -3.797 15.086
Rb 0.624 -1.704 6.065
Cs -0.037 -1.537 15.383
Cs 2.583 -5.413 9.361
Cs -2.022 -2.948 10.527
Cs 4.568 -4.002 14.217
Cs 2.597 -0.260 10.807
Cs -0.051 -6.690 13.937
Bi 0.000 0.000 0.000
```

***

No. 2
## TcAsPb (PBE)

Data for TcAsPb after structural relaxation.

Total magnetic moment   0.000 μB/f.u.
Density of states at the Fermi level   5.90 states/eV/cell
Density   9.2 g/cm3
Energy of formation from the pure elements   -1.2 kJ/mol of atoms

Cell and atoms, written as extended XYZ:
```
6
Lattice="4.398 0.000 0.000 0.000 4.398 0.000 0.000 0.000 7.075" Properties=species:S:1:pos:R:3 pbc="T T T"
Pb 2.199 0.000 1.345
Pb 0.000 2.199 5.730
As 0.000 2.199 2.336
As 2.199 0.000 4.739
Tc 0.000 0.000 3.538
Tc 2.199 2.199 3.538
```

***

No. 3
## YCdRh (PBE)

Data for YCdRh after structural relaxation.

Total magnetic moment   0.000 μB/f.u.
Density of states at the Fermi level   2.99 states/eV/cell
Density   7.9 g/cm3
Energy of formation from the pure elements   -57.2 kJ/mol of atoms

Cell and atoms, written as extended XYZ:
```
6
Lattice="-1.079 -3.427 -2.629 4.570 -0.676 2.775 -3.009 -2.404 4.369" Properties=species:S:1:pos:R:3 pbc="T T T"
Y 1.101 -3.734 0.645
Y -0.619 -2.774 3.870
Cd -0.540 -1.714 -1.315
Cd -2.044 -2.916 0.870
Rh 0.409 -5.417 3.124
Rh 0.073 -1.090 1.391
```